The following is a GGA+U calculation of crystalline K2CrSe2O6 at its relaxed geometry, from Alexandria.

The structure in POSCAR format:
```
K2CrSe2O6
1.0
6.4717 -2.7191 0.0000
6.4717 2.7191 0.0000
-4.2119 0.0000 6.2679
K Cr Se O
2 1 2 6
Cartesian
1.8621 0.0000 1.4090
6.8693 0.0000 4.8589
-2.1060 0.0000 3.1340
5.3210 0.0000 1.1882
3.4104 0.0000 5.0797
4.3136 1.3585 1.6156
4.4178 1.3585 4.6523
2.0723 0.0000 4.0395
6.6591 0.0000 2.2284
4.3136 -1.3585 1.6156
4.4178 -1.3585 4.6523
```

Summary:
The value obtained for the total moment is 4.0 μB per formula unit. The final energy is -5.5282 eV/atom. As for the space group: C2/m (12). The calculation puts the density of states at the Fermi level at 0.00 states/eV/f.u. The value obtained for the mass density is 2.89 g cm⁻³.